(1)
## Ho2TlIr (GGA-PBE)

Data for an optimized crystal structure of Ho2TlIr.

VASP energy: -22.38 eV/f.u.
Crystal system: cubic
Total moment: 0.00 μB per formula unit
Relative energy among the computed polymorphs: 124.0 meV per atom

```
data_Ho2TlIr
_space_group_name_H-M_alt 'F m -3 m'
_space_group_IT_number 225
_space_group_name_Hall '-F 4 2 3'
_cell_length_a 7.177
_cell_length_b 7.177
_cell_length_c 7.177
_cell_angle_alpha 90.00
_cell_angle_beta 90.00
_cell_angle_gamma 90.00
loop_
_atom_site_label
_atom_site_fract_x
_atom_site_fract_y
_atom_site_fract_z
_atom_site_occupancy
Ho1 0.250 0.250 0.250 1
Tl1 0.000 0.000 0.000 1
Ir1 0.000 0.000 0.500 1
```

---

(2)
## Ho2TlIr2 (GGA-PBE)

Data for an optimized crystal structure of Ho2TlIr2.

VASP energy: -32.38 eV/f.u.
Crystal system: orthorhombic
Total moment: 0.00 μB per formula unit

```
data_Ho2TlIr2
_space_group_name_H-M_alt 'I m m m'
_space_group_IT_number 71
_space_group_name_Hall '-I 2 2'
_cell_length_a 4.484
_cell_length_b 5.943
_cell_length_c 8.185
_cell_angle_alpha 90.00
_cell_angle_beta 90.00
_cell_angle_gamma 90.00
loop_
_atom_site_label
_atom_site_fract_x
_atom_site_fract_y
_atom_site_fract_z
_atom_site_occupancy
Ho1 0.000 0.000 0.206 1
Tl1 0.000 0.500 0.000 1
Ir1 0.000 0.286 0.500 1
```

---

(3)
## Ho4TlIr (GGA-PBE)

Data for an optimized crystal structure of Ho4TlIr.

VASP energy: -32.81 eV/f.u.
Crystal system: cubic
Total moment: 0.00 μB per formula unit
Relative energy among the computed polymorphs: 0.0 meV per atom

```
data_Ho4TlIr
_space_group_name_H-M_alt 'F -4 3 m'
_space_group_IT_number 216
_space_group_name_Hall 'F -4 2 3'
_cell_length_a 13.630
_cell_length_b 13.630
_cell_length_c 13.630
_cell_angle_alpha 90.00
_cell_angle_beta 90.00
_cell_angle_gamma 90.00
loop_
_atom_site_label
_atom_site_fract_x
_atom_site_fract_y
_atom_site_fract_z
_atom_site_occupancy
Ho1 0.000 0.000 0.191 1
Ho2 0.059 0.250 0.250 1
Ho3 0.151 0.151 0.651 1
Tl1 0.086 0.086 0.414 1
Ir1 0.141 0.141 0.859 1
```

---

(4)
## Ho2TlIr (GGA-PBE)

Data for an optimized crystal structure of Ho2TlIr.

VASP energy: -21.96 eV/f.u.
Crystal system: trigonal
Total moment: 0.00 μB per formula unit
Relative energy among the computed polymorphs: 230.4 meV per atom

```
data_Ho2TlIr
_space_group_name_H-M_alt 'R -3 m'
_space_group_IT_number 166
_space_group_name_Hall '-R 3 2"'
_cell_length_a 3.9578
_cell_length_b 3.9578
_cell_length_c 28.4967
_cell_angle_alpha 90.00
_cell_angle_beta 90.00
_cell_angle_gamma 120.00
loop_
_atom_site_label
_atom_site_fract_x
_atom_site_fract_y
_atom_site_fract_z
_atom_site_occupancy
Ho1 0.0000 0.0000 0.1146 1
Tl1 0.0000 0.0000 0.0000 1
Ir1 0.0000 0.0000 0.5000 1
```

---

(5)
## Ho11Tl9Ir4 (GGA-PBE)

Data for an optimized crystal structure of Ho11Tl9Ir4.

VASP energy: -119.99 eV/f.u.
Crystal system: orthorhombic
Total moment: 0.00 μB per formula unit

```
data_Ho11Tl9Ir4
_space_group_name_H-M_alt 'C m m m'
_space_group_IT_number 65
_space_group_name_Hall '-C 2 2'
_cell_length_a 14.669
_cell_length_b 21.935
_cell_length_c 3.706
_cell_angle_alpha 90.00
_cell_angle_beta 90.00
_cell_angle_gamma 90.00
loop_
_atom_site_label
_atom_site_fract_x
_atom_site_fract_y
_atom_site_fract_z
_atom_site_occupancy
Ho1 0.000 0.000 0.000 1
Ho2 0.000 0.163 0.000 1
Ho3 0.000 0.374 0.000 1
Ho4 0.188 0.500 0.000 1
Ho5 0.249 0.333 0.000 1
Tl1 0.000 0.500 0.500 1
Tl2 0.109 0.259 0.500 1
Tl3 0.142 0.073 0.500 1
Ir1 0.150 0.400 0.500 1
```

---

(6)
## Ho4TlIr (GGA-PBE)

Data for an optimized crystal structure of Ho4TlIr.

VASP energy: -31.66 eV/f.u.
Crystal system: monoclinic
Total moment: 0.00 μB per formula unit
Relative energy among the computed polymorphs: 192.4 meV per atom

```
data_Ho4TlIr
_space_group_name_H-M_alt 'P 1 21/c 1'
_space_group_IT_number 14
_space_group_name_Hall '-P 2ybc'
_cell_length_a 7.533
_cell_length_b 6.995
_cell_length_c 6.851
_cell_angle_alpha 90.00
_cell_angle_beta 91.30
_cell_angle_gamma 90.00
loop_
_atom_site_label
_atom_site_fract_x
_atom_site_fract_y
_atom_site_fract_z
_atom_site_occupancy
Ho1 0.136 0.158 0.169 1
Ho2 0.312 0.640 0.122 1
Tl1 0.500 0.000 0.000 1
Ir1 0.000 0.000 0.500 1
```

---

(7)
## Ho8Tl2Ir3 (GGA-PBE)

Data for an optimized crystal structure of Ho8Tl2Ir3.

VASP energy: -74.59 eV/f.u.
Crystal system: monoclinic
Total moment: 0.00 μB per formula unit
Relative energy among the computed polymorphs: 0.0 meV per atom

```
data_Ho8Tl2Ir3
_space_group_name_H-M_alt 'P 1 2/m 1'
_space_group_IT_number 10
_space_group_name_Hall '-P 2y'
_cell_length_a 8.798
_cell_length_b 4.907
_cell_length_c 8.801
_cell_angle_alpha 90.00
_cell_angle_beta 112.06
_cell_angle_gamma 90.00
loop_
_atom_site_label
_atom_site_fract_x
_atom_site_fract_y
_atom_site_fract_z
_atom_site_occupancy
Ho1 0.111 0.000 0.389 1
Ho2 0.142 0.500 0.867 1
Ho3 0.367 0.500 0.643 1
Ho4 0.386 0.000 0.114 1
Tl1 0.243 0.500 0.257 1
Ir1 0.247 0.000 0.747 1
Ir2 0.500 0.500 0.000 1
```

---

(8)
## Ho8Tl2Ir3 (GGA-PBE)

Data for an optimized crystal structure of Ho8Tl2Ir3.

VASP energy: -73.65 eV/f.u.
Crystal system: monoclinic
Total moment: 0.00 μB per formula unit
Relative energy among the computed polymorphs: 72.9 meV per atom

```
data_Ho8Tl2Ir3
_space_group_name_H-M_alt 'C 1 2/m 1'
_space_group_IT_number 12
_space_group_name_Hall '-C 2y'
_cell_length_a 16.250
_cell_length_b 7.607
_cell_length_c 6.756
_cell_angle_alpha 90.00
_cell_angle_beta 109.07
_cell_angle_gamma 90.00
loop_
_atom_site_label
_atom_site_fract_x
_atom_site_fract_y
_atom_site_fract_z
_atom_site_occupancy
Ho1 0.089 0.000 0.420 1
Ho2 0.096 0.255 0.905 1
Ho3 0.136 0.500 0.465 1
Tl1 0.248 0.000 0.854 1
Ir1 0.000 0.000 0.000 1
Ir2 0.000 0.300 0.500 1
```

---

(9)
## Ho3TlIr (GGA-PBE)

Data for an optimized crystal structure of Ho3TlIr.

VASP energy: -27.43 eV/f.u.
Crystal system: monoclinic
Total moment: 0.00 μB per formula unit
Relative energy among the computed polymorphs: 89.0 meV per atom

```
data_Ho3TlIr
_space_group_name_H-M_alt 'C 1 2/m 1'
_space_group_IT_number 12
_space_group_name_Hall '-C 2y'
_cell_length_a 12.201
_cell_length_b 5.517
_cell_length_c 8.997
_cell_angle_alpha 90.00
_cell_angle_beta 113.55
_cell_angle_gamma 90.00
loop_
_atom_site_label
_atom_site_fract_x
_atom_site_fract_y
_atom_site_fract_z
_atom_site_occupancy
Ho1 0.105 0.000 0.219 1
Ho2 0.114 0.500 0.899 1
Ho3 0.162 0.000 0.657 1
Tl1 0.116 0.500 0.459 1
Ir1 0.140 0.000 0.940 1
```

---

(10)
## Ho2TlIr (GGA-PBE)

Data for an optimized crystal structure of Ho2TlIr.

VASP energy: -22.50 eV/f.u.
Crystal system: trigonal
Total moment: 0.00 μB per formula unit
Relative energy among the computed polymorphs: 94.9 meV per atom

```
data_Ho2TlIr
_space_group_name_H-M_alt 'R 3 m'
_space_group_IT_number 160
_space_group_name_Hall 'R 3 -2"'
_cell_length_a 4.0146
_cell_length_b 4.0146
_cell_length_c 23.6316
_cell_angle_alpha 90.00
_cell_angle_beta 90.00
_cell_angle_gamma 120.00
loop_
_atom_site_label
_atom_site_fract_x
_atom_site_fract_y
_atom_site_fract_z
_atom_site_occupancy
Ho1 0.0000 0.0000 0.0000 1
Ho2 0.0000 0.0000 0.2073 1
Tl1 0.0000 0.0000 0.7697 1
Ir1 0.0000 0.0000 0.6044 1
```

---

(11)
## HoTlIr (GGA-PBE)

Data for an optimized crystal structure of HoTlIr.

VASP energy: -17.18 eV/f.u.
Crystal system: orthorhombic
Total moment: 0.00 μB per formula unit

```
data_HoTlIr
_space_group_name_H-M_alt 'P n m a'
_space_group_IT_number 62
_space_group_name_Hall '-P 2ac 2n'
_cell_length_a 7.164
_cell_length_b 4.199
_cell_length_c 8.794
_cell_angle_alpha 90.00
_cell_angle_beta 90.00
_cell_angle_gamma 90.00
loop_
_atom_site_label
_atom_site_fract_x
_atom_site_fract_y
_atom_site_fract_z
_atom_site_occupancy
Ho1 0.038 0.250 0.175 1
Tl1 0.147 0.250 0.563 1
Ir1 0.235 0.250 0.869 1
```